Compound: MgCoTeH2
Source: Alexandria
Functional: PBE
Structure: relaxed

Cell and atoms, written as POSCAR:
```
MgCoTeH2
1.0
3.6972 0.0000 0.0000
0.0000 3.6972 0.0000
0.0000 0.0000 6.4295
Mg Co Te H
1 1 1 2
Direct
0.0000 0.0000 0.0000
0.5000 0.5000 0.5000
0.0000 0.0000 0.5000
0.0000 0.5000 0.0000
0.5000 0.0000 0.0000
```

## Properties
crystal system	tetragonal
raw total energy	-3.399	eV/atom